(1)
FeRu | the Alexandria database | GGA-PBE | optimized geometry; volume = 12.95 Å³ per atom; symmetry = Imma; DFT total energy = -34.91 eV for the cell shown; DFT formation energy = 0.143 eV per atom; N(E_F) = 0.98 states/eV per atom
1.0
-0.893 -4.081 0.454
2.087 2.141 3.910
-2.150 0.679 1.876
Ru Fe
2 2
Cartesian
-1.188 -1.485 3.762 Ru
0.515 0.445 5.015 Ru
0.222 0.225 2.466 Fe
-2.090 0.674 1.947 Fe

(2)
FeRu | the Alexandria database | GGA-PBE | optimized geometry; volume = 14.19 Å³ per atom; symmetry = P6_3/mmc; DFT total energy = -32.52 eV for the cell shown; DFT formation energy = 0.738 eV per atom; N(E_F) = 1.52 states/eV per atom
1.0
-3.382 -1.101 -1.273
0.891 -0.467 3.641
-1.711 4.156 0.951
Ru Fe
2 2
Cartesian
-3.240 2.228 1.078 Ru
-0.961 0.361 2.241 Ru
-0.855 2.078 0.476 Fe
0.000 0.000 0.000 Fe

(3)
Fe3Ru | the Alexandria database | GGA-PBE | optimized geometry; volume = 11.71 Å³ per atom; symmetry = Cmmm; DFT total energy = -33.91 eV for the cell shown; DFT formation energy = 0.187 eV per atom; N(E_F) = 1.56 states/eV per atom
1.0
4.402 0.001 0.000
-1.477 4.147 0.000
0.000 0.000 2.566
Fe Ru
3 1
Cartesian
-0.738 2.073 1.283 Fe
2.201 0.001 1.283 Fe
0.000 0.000 0.000 Fe
1.463 2.074 0.000 Ru

(4)
FeRu | the Alexandria database | GGA-PBE | optimized geometry; volume = 12.86 Å³ per atom; symmetry = P4/nmm; DFT total energy = -34.94 eV for the cell shown; DFT formation energy = 0.135 eV per atom; N(E_F) = 1.17 states/eV per atom
1.0
2.813 0.000 0.000
0.000 2.813 0.000
0.000 0.000 6.502
Fe Ru
2 2
Cartesian
1.406 1.406 1.519 Fe
0.000 0.000 0.107 Fe
1.406 1.406 4.988 Ru
0.000 0.000 3.139 Ru